(1)
# V8P2C3 (PBE, optimized geometry)
data_V8P2C3
_chemical_formula_sum 'V16 P4 C6'
_cell_length_a 11.365
_cell_length_b 6.018
_cell_length_c 5.154
_cell_angle_alpha 90.00
_cell_angle_beta 107.35
_cell_angle_gamma 90.00
_symmetry_space_group_name_H-M 'C 1 2/m 1'
_symmetry_Int_Tables_number 12
_symmetry_space_group_name_Hall '-C 2y'
loop_
_atom_site_label
_atom_site_type_symbol
_atom_site_fract_x
_atom_site_fract_y
_atom_site_fract_z
V1 V 0.070 0.000 0.336
V2 V 0.098 0.500 0.402
V3 V 0.105 0.259 0.898
P1 P 0.243 0.000 0.182
C1 C 0.000 0.255 0.500
C2 C 0.000 0.500 0.000
# Mass density = 4.99 g/cm3
# E_tot = -8.99 eV per atom


(2)
# ZrAl2Au (PBE, optimized geometry)
data_ZrAl2Au
_chemical_formula_sum 'Zr1 Al2 Au1'
_cell_length_a 4.223
_cell_length_b 4.223
_cell_length_c 3.972
_cell_angle_alpha 90.00
_cell_angle_beta 90.00
_cell_angle_gamma 90.00
_symmetry_space_group_name_H-M 'P 4/m m m'
_symmetry_Int_Tables_number 123
_symmetry_space_group_name_Hall '-P 4 2'
loop_
_atom_site_label
_atom_site_type_symbol
_atom_site_fract_x
_atom_site_fract_y
_atom_site_fract_z
Zr1 Zr 0.000 0.000 0.000
Al1 Al 0.000 0.500 0.500
Au1 Au 0.500 0.500 0.000
# Mass density = 8.02 g/cm3
# E_tot = -5.39 eV per atom


(3)
# KTa2HgTe (PBE, optimized geometry)
data_KTa2HgTe
_chemical_formula_sum 'K1 Ta2 Hg1 Te1'
_cell_length_a 5.156
_cell_length_b 5.156
_cell_length_c 6.194
_cell_angle_alpha 90.00
_cell_angle_beta 90.00
_cell_angle_gamma 90.00
_symmetry_space_group_name_H-M 'P 4/m m m'
_symmetry_Int_Tables_number 123
_symmetry_space_group_name_Hall '-P 4 2'
loop_
_atom_site_label
_atom_site_type_symbol
_atom_site_fract_x
_atom_site_fract_y
_atom_site_fract_z
K1 K 0.000 0.000 0.000
Ta1 Ta 0.000 0.500 0.500
Hg1 Hg 0.500 0.500 0.000
Te1 Te 0.000 0.000 0.500
# ΔE_f (raw) = 1391.5 meV per atom
# Mass density = 7.35 g/cm3


(4)
# RbNi3Se3 (PBE, optimized geometry)
data_RbNi3Se3
_chemical_formula_sum 'Rb2 Ni6 Se6'
_cell_length_a 6.650
_cell_length_b 6.650
_cell_length_c 6.650
_cell_angle_alpha 90.00
_cell_angle_beta 90.00
_cell_angle_gamma 90.00
_symmetry_space_group_name_H-M 'P m -3 n'
_symmetry_Int_Tables_number 223
_symmetry_space_group_name_Hall '-P 4n 2 3'
loop_
_atom_site_label
_atom_site_type_symbol
_atom_site_fract_x
_atom_site_fract_y
_atom_site_fract_z
Rb1 Rb 0.000 0.000 0.000
Ni1 Ni 0.000 0.250 0.500
Se1 Se 0.000 0.500 0.250
# ΔE_f (raw) = -429.4 meV per atom
# Mass density = 5.63 g/cm3
# ΔE to the lowest computed polymorph = 75 meV per atom


(5)
# NdGe3Pd3 (PBE, optimized geometry)
data_NdGe3Pd3
_chemical_formula_sum 'Nd2 Ge6 Pd6'
_cell_length_a 8.5072
_cell_length_b 8.5072
_cell_length_c 4.4588
_cell_angle_alpha 90.00
_cell_angle_beta 90.00
_cell_angle_gamma 120.00
_symmetry_space_group_name_H-M 'P 63/m'
_symmetry_Int_Tables_number 176
_symmetry_space_group_name_Hall '-P 6c'
loop_
_atom_site_label
_atom_site_type_symbol
_atom_site_fract_x
_atom_site_fract_y
_atom_site_fract_z
Nd1 Nd 0.3333 0.6667 0.2500
Ge1 Ge 0.1048 0.7115 0.7500
Pd1 Pd 0.0732 0.8344 0.2500
# Mass density = 8.10 g/cm3
# ΔE to the lowest computed polymorph = 0 meV per atom


(6)
# Y4Pb2O (PBE, optimized geometry)
data_Y4Pb2O
_chemical_formula_sum 'Y8 Pb4 O2'
_cell_length_a 4.605
_cell_length_b 4.605
_cell_length_c 17.035
_cell_angle_alpha 90.00
_cell_angle_beta 90.00
_cell_angle_gamma 90.00
_symmetry_space_group_name_H-M 'I 4/m m m'
_symmetry_Int_Tables_number 139
_symmetry_space_group_name_Hall '-I 4 2'
loop_
_atom_site_label
_atom_site_type_symbol
_atom_site_fract_x
_atom_site_fract_y
_atom_site_fract_z
Y1 Y 0.000 0.000 0.174
Y2 Y 0.000 0.500 0.000
Pb1 Pb 0.000 0.000 0.360
O1 O 0.000 0.000 0.000
# ΔE_f (raw) = -1184.1 meV per atom
# Mass density = 7.23 g/cm3


(7)
# TlHgS2N (PBE, optimized geometry)
data_TlHgS2N
_chemical_formula_sum 'Tl1 Hg1 S2 N1'
_cell_length_a 5.277
_cell_length_b 5.277
_cell_length_c 4.369
_cell_angle_alpha 90.00
_cell_angle_beta 90.00
_cell_angle_gamma 90.00
_symmetry_space_group_name_H-M 'P 4/m m m'
_symmetry_Int_Tables_number 123
_symmetry_space_group_name_Hall '-P 4 2'
loop_
_atom_site_label
_atom_site_type_symbol
_atom_site_fract_x
_atom_site_fract_y
_atom_site_fract_z
Tl1 Tl 0.000 0.000 0.000
Hg1 Hg 0.500 0.500 0.500
S1 S 0.000 0.500 0.000
N1 N 0.000 0.000 0.500
# ΔE_f (raw) = 1241.0 meV per atom
# Mass density = 6.59 g/cm3
# ΔE to the lowest computed polymorph = 180 meV per atom